Material: Tb9Y4Mg11
Method: DFT, PBE-GGA
State: relaxed

Lattice parameters (Å, degrees): 16.5321 22.5832 3.6116 90.00 90.00 90.00
With the nearest neighbours (Å) after each atom.
Space group Cmmm (No. 65)
Symmetry-distinct sites (fractional):
Tb (0.0000, 0.0000, 0.0000) x2  4 Y 3.34, 4 Mg 3.49, 2 Tb 3.61
Tb (0.1124, 0.2326, 0.0000) x8  8 Mg 3.24-3.44, 1 Y 3.50, 2 Tb 3.61
Tb (0.1119, 0.4047, 0.0000) x8  8 Mg 3.24-3.36, 2 Tb 3.61
Y (0.1671, 0.0831, 0.0000) x8  6 Mg 3.28-3.48, 3 Tb 3.34-3.66, 2 Y 3.61
Mg (0.0000, 0.1322, 0.5000) x4  6 Tb 3.44-3.49, 4 Y 3.48, 2 Mg 3.61
Mg (0.0000, 0.3185, 0.5000) x4  8 Tb 3.24, 2 Mg 3.61
Mg (0.0000, 0.5000, 0.5000) x2  8 Tb 3.36, 4 Mg 3.49-3.61
Mg (0.2110, 0.5000, 0.5000) x4  4 Tb 3.25, 4 Y 3.29, 3 Mg 3.49-3.61
Mg (0.2320, 0.3207, 0.5000) x8  3 Mg 3.25-3.61, 2 Y 3.28, 6 Tb 3.29-3.37

Summary:
As for the total energy: -3.5802 eV/atom. As for the formation energy: -0.036 eV per atom. The density of states at the Fermi level is 29.098 states/eV/f.u.